1.
Entry from the Alexandria database: a relaxed Sc2Cr2Pd crystal (PBE-GGA).

abc: 7.050 7.050 3.431
angles: 90.00 90.00 90.00
Fractional positions:
Sc1 0.198 0.302 0.000
Sc2 0.302 0.802 0.000
Sc3 0.698 0.198 0.000
Sc4 0.802 0.698 0.000
Cr1 0.094 0.594 0.500
Cr2 0.406 0.094 0.500
Cr3 0.594 0.906 0.500
Cr4 0.906 0.406 0.500
Pd1 0.000 0.000 0.500
Pd2 0.500 0.500 0.500

Values from the calculation:
Magnetic moment in μB/cell: 0.00
Space group: P4/mbm, No. 127
Energy in eV per cell: -73.584
E_form in kcal/mol of atoms: 1.43
Crystal system: tetragonal

---

2.
Entry from the Alexandria database: a relaxed ScCr3Pd crystal (PBE-GGA).

abc: 4.265 4.265 4.265
angles: 90.00 90.00 90.00
Fractional positions:
Sc1 0.000 0.000 0.000
Cr1 0.000 0.000 0.500
Cr2 0.000 0.500 0.000
Cr3 0.500 0.000 0.000
Pd1 0.500 0.500 0.500

Values from the calculation:
Magnetic moment in μB/cell: 0.00
Space group: Pm-3m, No. 221
Energy in eV per cell: -31.165
E_form in kcal/mol of atoms: 42.57
Crystal system: cubic
Relative energy among the computed polymorphs in meV per atom: 751

---

3.
Entry from the Alexandria database: a relaxed Sc2CrPd crystal (PBE-GGA).

abc: 4.088 4.088 17.952
angles: 90.00 90.00 90.00
Fractional positions:
Sc1 0.243 0.250 0.125
Sc2 0.250 0.743 0.375
Sc3 0.250 0.757 0.875
Sc4 0.257 0.250 0.625
Sc5 0.743 0.750 0.625
Sc6 0.750 0.243 0.875
Sc7 0.750 0.257 0.375
Sc8 0.757 0.750 0.125
Cr1 0.000 0.000 0.000
Cr2 0.000 0.500 0.250
Cr3 0.500 0.000 0.750
Cr4 0.500 0.500 0.500
Pd1 0.000 0.000 0.500
Pd2 0.000 0.500 0.750
Pd3 0.500 0.000 0.250
Pd4 0.500 0.500 0.000

Values from the calculation:
Magnetic moment in μB/cell: 0.00
Space group: I-42d, No. 122
Energy in eV per cell: -102.106
E_form in kcal/mol of atoms: 11.26
Crystal system: tetragonal

---

4.
Entry from the Alexandria database: a relaxed ScCrPd2 crystal (PBE-GGA).

abc: 4.215 4.215 3.694
angles: 90.00 90.00 90.00
Fractional positions:
Sc1 0.000 0.000 0.000
Cr1 0.500 0.500 0.000
Pd1 0.000 0.500 0.500
Pd2 0.500 0.000 0.500

Values from the calculation:
Magnetic moment in μB/cell: 4.38
Space group: P4/mmm, No. 123
Energy in eV per cell: -28.270
E_form in kcal/mol of atoms: -11.12
Crystal system: tetragonal
Relative energy among the computed polymorphs in meV per atom: 0

---

5.
Entry from the Alexandria database: a relaxed ScCr3Pd crystal (PBE-GGA).

abc: 4.811 4.811 4.811
angles: 90.00 90.00 90.00
Fractional positions:
Sc1 0.000 0.000 0.000
Cr1 0.000 0.500 0.500
Cr2 0.500 0.000 0.500
Cr3 0.500 0.500 0.000
Pd1 0.500 0.500 0.500

Values from the calculation:
Magnetic moment in μB/cell: 11.82
Space group: Pm-3m, No. 221
Energy in eV per cell: -34.921
E_form in kcal/mol of atoms: 25.24
Crystal system: cubic
Relative energy among the computed polymorphs in meV per atom: 0

---

6.
Entry from the Alexandria database: a relaxed Sc2CrPd crystal (PBE-GGA).

abc: 3.314 3.314 6.503
angles: 90.00 90.00 90.00
Fractional positions:
Sc1 0.000 0.000 0.246
Sc2 0.000 0.000 0.754
Cr1 0.500 0.500 0.000
Pd1 0.500 0.500 0.500

Values from the calculation:
Magnetic moment in μB/cell: 2.32
Space group: P4/mmm, No. 123
Energy in eV per cell: -28.772
E_form in kcal/mol of atoms: -7.45
Crystal system: tetragonal

---

7.
Entry from the Alexandria database: a relaxed Sc2CrPd2 crystal (PBE-GGA).

abc: 6.554 6.554 4.186
angles: 90.00 90.00 90.00
Fractional positions:
Sc1 0.173 0.327 0.000
Sc2 0.327 0.827 0.000
Sc3 0.673 0.173 0.000
Sc4 0.827 0.673 0.000
Cr1 0.000 0.000 0.500
Cr2 0.500 0.500 0.500
Pd1 0.142 0.642 0.500
Pd2 0.358 0.142 0.500
Pd3 0.642 0.858 0.500
Pd4 0.858 0.358 0.500

Values from the calculation:
Magnetic moment in μB/cell: 0.07
Space group: P4/mbm, No. 127
Energy in eV per cell: -67.739
E_form in kcal/mol of atoms: -5.52
Crystal system: tetragonal

---

8.
Entry from the Alexandria database: a relaxed ScCr2Pd9 crystal (PBE-GGA).

abc: 3.937 3.937 11.853
angles: 90.00 90.00 90.00
Fractional positions:
Sc1 0.000 0.000 0.000
Cr1 0.000 0.000 0.339
Cr2 0.000 0.000 0.661
Pd1 0.000 0.500 0.173
Pd2 0.000 0.500 0.500
Pd3 0.000 0.500 0.827
Pd4 0.500 0.000 0.173
Pd5 0.500 0.000 0.500
Pd6 0.500 0.000 0.827
Pd7 0.500 0.500 0.000
Pd8 0.500 0.500 0.336
Pd9 0.500 0.500 0.664

Values from the calculation:
Magnetic moment in μB/cell: 5.61
Space group: P4/mmm, No. 123
Energy in eV per cell: -76.236
E_form in kcal/mol of atoms: -7.54
Crystal system: tetragonal